# 1
## TmPS4 (PBE)

Data for a relaxed TmPS4 crystal.

Properties
- SG: P2_1/c (14)
- Magnetization: 0.00 μB per formula unit
- Total energy: -130.2 eV per cell

Lattice parameters (Å, degrees): 8.368 6.496 12.572 90.00 121.72 90.00
Element x y z (fractional)
Tm 0.058 0.176 0.165
Tm 0.058 0.324 0.665
Tm 0.942 0.676 0.335
Tm 0.942 0.824 0.835
P 0.195 0.228 0.464
P 0.195 0.272 0.964
P 0.805 0.728 0.036
P 0.805 0.772 0.536
S 0.083 0.732 0.589
S 0.083 0.768 0.089
S 0.228 0.542 0.890
S 0.228 0.958 0.390
S 0.249 0.053 0.868
S 0.249 0.447 0.368
S 0.363 0.246 0.651
S 0.363 0.254 0.151
S 0.637 0.746 0.849
S 0.637 0.754 0.349
S 0.751 0.553 0.632
S 0.751 0.947 0.132
S 0.772 0.042 0.610
S 0.772 0.458 0.110
S 0.917 0.232 0.911
S 0.917 0.268 0.411

=====

# 2
## SmGdSc (PBE)

Data for a relaxed SmGdSc crystal.

Properties
- Energy above the most stable polymorph in this dataset: 0 meV/atom
- SG: F-43m (216)
- ΔE_f: 64.72 kJ/mol of atoms
- Magnetization: 0.06 μB per formula unit
- Total energy: -13.7 eV per cell

Lattice parameters (Å, degrees): 5.289 5.289 5.289 60.00 60.00 60.00
Element x y z (fractional)
Sm 0.000 0.000 0.000
Gd 0.500 0.500 0.500
Sc 0.750 0.750 0.750

=====

# 3
## SrZnSi3 (PBE)

Data for a relaxed SrZnSi3 crystal.

Properties
- SG: I4mm (107)
- Total energy: -20.1 eV per cell

Lattice parameters (Å, degrees): 5.806 5.806 5.806 134.64 134.64 66.08
Element x y z (fractional)
Sr 0.000 0.000 0.000
Zn 0.625 0.625 0.000
Si 0.252 0.752 0.500
Si 0.367 0.367 0.000
Si 0.752 0.252 0.500

=====

# 4
## HoTlHgSe3 (PBE)

Data for a relaxed HoTlHgSe3 crystal.

Properties
- Energy above the most stable polymorph in this dataset: 0 meV/atom
- SG: Cmcm (63)
- Magnetization: 0.00 μB per formula unit
- Total energy: -46.6 eV per cell

Lattice parameters (Å, degrees): 7.616 7.616 10.941 90.00 90.00 148.27
Element x y z (fractional)
Ho 0.000 0.000 0.000
Ho 0.000 0.000 0.500
Tl 0.250 0.750 0.750
Tl 0.750 0.250 0.250
Hg 0.453 0.547 0.250
Hg 0.547 0.453 0.750
Se 0.075 0.925 0.250
Se 0.366 0.634 0.041
Se 0.366 0.634 0.459
Se 0.634 0.366 0.541
Se 0.634 0.366 0.959
Se 0.925 0.075 0.750

=====

# 5
## KCuTePd (PBE)

Data for a relaxed KCuTePd crystal.

Properties
- Energy above the most stable polymorph in this dataset: 72 meV/atom
- SG: F-43m (216)
- Total energy: -12.7 eV per cell

Lattice parameters (Å, degrees): 4.962 4.962 4.962 60.00 60.00 60.00
Element x y z (fractional)
K 0.000 0.000 0.000
Cu 0.250 0.250 0.250
Te 0.750 0.750 0.750
Pd 0.500 0.500 0.500

=====

# 6
## GdErLu2 (PBE)

Data for a relaxed GdErLu2 crystal.

Properties
- SG: Ama2 (40)
- ΔE_f: 0.27 kJ/mol of atoms
- Magnetization: 0.08 μB per formula unit
- Total energy: -36.5 eV per cell

Lattice parameters (Å, degrees): 5.539 7.105 7.105 120.00 90.00 90.00
Element x y z (fractional)
Gd 0.250 0.167 0.833
Gd 0.750 0.833 0.167
Er 0.250 0.666 0.831
Er 0.750 0.831 0.666
Lu 0.250 0.169 0.335
Lu 0.250 0.666 0.334
Lu 0.750 0.334 0.666
Lu 0.750 0.335 0.169

=====

# 7
## Re2Te2SeS (PBE)

Data for a relaxed Re2Te2SeS crystal.

Properties
- Energy above the most stable polymorph in this dataset: 14 meV/atom
- SG: P-1 (2)
- Magnetization: 0.00 μB per formula unit
- Total energy: -80.9 eV per cell

Lattice parameters (Å, degrees): 6.786 7.008 7.188 91.04 104.51 118.19
Element x y z (fractional)
Re 0.008 0.198 0.005
Re 0.432 0.172 0.012
Re 0.568 0.828 0.988
Re 0.992 0.802 0.995
Te 0.253 0.629 0.206
Te 0.275 0.398 0.776
Te 0.725 0.602 0.224
Te 0.747 0.371 0.794
Se 0.241 0.104 0.278
Se 0.759 0.896 0.722
S 0.239 0.856 0.782
S 0.761 0.144 0.218

=====

# 8
## Zn2GaSn2 (PBE)

Data for a relaxed Zn2GaSn2 crystal.

Properties
- SG: I4/mmm (139)
- Total energy: -12.8 eV per cell

Lattice parameters (Å, degrees): 6.798 6.798 6.798 141.97 141.97 54.87
Element x y z (fractional)
Zn 0.099 0.099 0.000
Zn 0.901 0.901 0.000
Ga 0.500 0.500 0.000
Sn 0.250 0.750 0.500
Sn 0.750 0.250 0.500